Record 1
Material: CsK10Na2
Method: DFT, PBE-GGA
State: optimized geometry

Properties
E_form: 0.02 eV/atom
density of states at the Fermi level: 20.9 states/eV per cell
density: 1.040 g/cm³
electronic total energy: -1.0968 eV/atom
calculated volume: 70.02 A^3/atom
symmetry: Cmcm

Cell and atoms, written as POSCAR:
```
CsK10Na2
1.0
7.391 -8.484 0.000
7.391 8.484 0.000
0.000 0.000 14.516
Cs K Na
2 20 4
direct
0.120 0.880 0.750
0.880 0.120 0.250
0.121 0.416 0.750
0.164 0.836 0.095
0.164 0.836 0.405
0.217 0.217 0.000
0.217 0.217 0.500
0.237 0.468 0.250
0.384 0.616 0.562
0.384 0.616 0.938
0.416 0.121 0.250
0.468 0.237 0.750
0.532 0.763 0.250
0.584 0.879 0.750
0.616 0.384 0.062
0.616 0.384 0.438
0.763 0.532 0.750
0.783 0.783 0.000
0.783 0.783 0.500
0.836 0.164 0.595
0.836 0.164 0.905
0.879 0.584 0.250
0.000 0.500 0.000
0.000 0.500 0.500
0.500 0.000 0.000
0.500 0.000 0.500
```

Record 2
Material: Cs10K3Na3
Method: DFT, PBE-GGA
State: optimized geometry

Properties
E_form: 0.03 eV/atom
density of states at the Fermi level: 14.5 states/eV per cell
density: 1.727 g/cm³
electronic total energy: -0.9606 eV/atom
calculated volume: 91.08 A^3/atom
symmetry: P-62m

Cell and atoms, written as POSCAR:
```
Cs10K3Na3
1.0
13.434 0.000 0.000
-6.717 11.634 0.000
0.000 0.000 9.324
Cs K Na
10 3 3
direct
0.000 0.247 0.000
0.000 0.760 0.500
0.240 0.240 0.500
0.247 0.000 0.000
0.333 0.667 0.237
0.333 0.667 0.763
0.667 0.333 0.237
0.667 0.333 0.763
0.753 0.753 0.000
0.760 0.000 0.500
0.000 0.412 0.500
0.412 0.000 0.500
0.588 0.588 0.500
0.000 0.597 0.000
0.403 0.403 0.000
0.597 0.000 0.000
```

Record 3
Material: Cs4K8Na
Method: DFT, PBE-GGA
State: optimized geometry

Properties
E_form: 0.02 eV/atom
density of states at the Fermi level: 10.9 states/eV per cell
density: 1.339 g/cm³
electronic total energy: -1.0149 eV/atom
calculated volume: 82.75 A^3/atom
symmetry: Pmm2

Cell and atoms, written as POSCAR:
```
Cs4K8Na
1.0
5.853 0.000 0.000
0.000 7.335 0.000
0.000 0.000 25.061
Cs K Na
4 8 1
direct
0.000 0.000 0.000
0.000 0.500 0.475
0.500 0.000 0.789
0.500 0.500 0.310
0.000 0.000 0.315
0.000 0.000 0.624
0.000 0.500 0.158
0.000 0.500 0.878
0.500 0.000 0.164
0.500 0.000 0.470
0.500 0.500 0.023
0.500 0.500 0.621
0.000 0.500 0.725
```

Record 4
Material: Cs2K5Na
Method: DFT, PBE-GGA
State: optimized geometry

Properties
E_form: 0.02 eV/atom
density of states at the Fermi level: 12.2 states/eV per cell
density: 1.313 g/cm³
electronic total energy: -1.0438 eV/atom
E above lowest polymorph: 0.00 eV/f.u.
calculated volume: 76.53 A^3/atom
symmetry: I4/mmm

Cell and atoms, written as POSCAR:
```
Cs2K5Na
1.0
6.952 0.000 0.000
0.000 6.952 0.000
0.000 0.000 25.338
Cs K Na
4 10 2
direct
0.000 0.000 0.248
0.000 0.000 0.752
0.500 0.500 0.252
0.500 0.500 0.748
0.000 0.000 0.500
0.000 0.500 0.104
0.000 0.500 0.396
0.000 0.500 0.604
0.000 0.500 0.896
0.500 0.000 0.104
0.500 0.000 0.396
0.500 0.000 0.604
0.500 0.000 0.896
0.500 0.500 0.000
0.000 0.000 0.000
0.500 0.500 0.500
```

Record 5
Material: Cs7K2Na2
Method: DFT, PBE-GGA
State: optimized geometry

Properties
E_form: 0.03 eV/atom
density of states at the Fermi level: 8.4 states/eV per cell
density: 1.707 g/cm³
electronic total energy: -0.9566 eV/atom
E above lowest polymorph: 0.09 eV/f.u.
calculated volume: 93.28 A^3/atom
symmetry: Imm2

Cell and atoms, written as POSCAR:
```
Cs7K2Na2
1.0
-2.753 12.785 7.287
2.753 -12.785 7.287
2.753 12.785 -7.287
Cs K Na
7 2 2
direct
0.000 0.000 0.000
0.312 0.446 0.867
0.322 0.647 0.675
0.579 0.446 0.133
0.611 0.263 0.348
0.915 0.263 0.652
0.972 0.647 0.325
0.298 0.798 0.500
0.662 0.662 0.000
0.179 0.942 0.237
0.705 0.942 0.763
```

Record 6
Material: Cs2K8Na3
Method: DFT, PBE-GGA
State: optimized geometry

Properties
E_form: 0.06 eV/atom
density of states at the Fermi level: 8.8 states/eV per cell
density: 1.067 g/cm³
electronic total energy: -1.0510 eV/atom
calculated volume: 77.49 A^3/atom
symmetry: P2/m

Cell and atoms, written as POSCAR:
```
Cs2K8Na3
1.0
11.491 0.000 0.000
0.000 6.417 0.000
-5.567 0.000 13.662
Cs K Na
2 8 3
direct
0.234 0.000 0.476
0.766 0.000 0.524
0.081 0.500 0.162
0.152 0.000 0.820
0.339 0.000 0.187
0.369 0.500 0.741
0.631 0.500 0.259
0.661 0.000 0.813
0.848 0.000 0.180
0.919 0.500 0.838
0.331 0.500 0.002
0.500 0.000 0.000
0.669 0.500 0.998
```

Record 7
Material: Cs3KNa
Method: DFT, PBE-GGA
State: optimized geometry

Properties
E_form: 0.09 eV/atom
density of states at the Fermi level: 6.5 states/eV per cell
density: 1.484 g/cm³
electronic total energy: -0.9102 eV/atom
E above lowest polymorph: 0.24 eV/f.u.
calculated volume: 103.12 A^3/atom
symmetry: Pm-3m

Cell and atoms, written as POSCAR:
```
Cs3KNa
1.0
8.019 0.000 0.000
0.000 8.019 0.000
0.000 0.000 8.019
Cs K Na
3 1 1
direct
0.000 0.000 0.500
0.000 0.500 0.000
0.500 0.000 0.000
0.500 0.500 0.500
0.000 0.000 0.000
```

Record 8
Material: Cs8K2Na
Method: DFT, PBE-GGA
State: optimized geometry

Properties
E_form: 0.01 eV/atom
density of states at the Fermi level: 12.1 states/eV per cell
density: 1.780 g/cm³
electronic total energy: -0.9280 eV/atom
calculated volume: 98.76 A^3/atom
symmetry: C2/m

Cell and atoms, written as POSCAR:
```
Cs8K2Na
1.0
13.344 -3.939 0.000
13.344 3.939 0.000
-1.427 0.000 10.335
Cs K Na
8 2 1
direct
0.029 0.029 0.271
0.217 0.217 0.140
0.337 0.337 0.582
0.412 0.412 0.092
0.588 0.588 0.908
0.663 0.663 0.418
0.783 0.783 0.860
0.971 0.971 0.729
0.155 0.155 0.677
0.845 0.845 0.323
0.500 0.500 0.500
```

Record 9
Material: Cs3KNa8
Method: DFT, PBE-GGA
State: optimized geometry

Properties
E_form: 0.01 eV/atom
density of states at the Fermi level: 5.1 states/eV per cell
density: 1.582 g/cm³
electronic total energy: -1.1759 eV/atom
E above lowest polymorph: 0.05 eV/f.u.
calculated volume: 54.38 A^3/atom
symmetry: R3m

Cell and atoms, written as POSCAR:
```
Cs3KNa8
1.0
3.851 2.223 12.706
-3.851 2.223 12.706
0.000 -4.446 12.706
Cs K Na
3 1 8
direct
0.000 0.000 0.000
0.126 0.126 0.126
0.503 0.503 0.503
0.626 0.626 0.626
0.059 0.564 0.564
0.065 0.065 0.566
0.065 0.566 0.065
0.313 0.313 0.313
0.564 0.059 0.564
0.564 0.564 0.059
0.566 0.065 0.065
0.814 0.814 0.814
```

Record 10
Material: Cs3K3Na8
Method: DFT, PBE-GGA
State: optimized geometry

Properties
E_form: 0.03 eV/atom
density of states at the Fermi level: 7.2 states/eV per cell
density: 1.395 g/cm³
electronic total energy: -1.1422 eV/atom
calculated volume: 59.52 A^3/atom
symmetry: Immm

Cell and atoms, written as POSCAR:
```
Cs3K3Na8
1.0
-3.135 6.883 9.654
3.135 -6.883 9.654
3.135 6.883 -9.654
Cs K Na
3 3 8
direct
0.000 0.000 0.000
0.298 0.298 0.000
0.702 0.702 0.000
0.278 0.500 0.778
0.500 0.000 0.500
0.722 0.500 0.222
0.041 0.673 0.368
0.113 0.846 0.267
0.304 0.673 0.632
0.421 0.154 0.267
0.579 0.846 0.733
0.696 0.327 0.368
0.887 0.154 0.733
0.959 0.327 0.632
```